[1]
{"formula": "PrHg3Au3", "functional": "PBE-GGA", "state": "relaxed", "de_polymorph_mev_per_atom": 576, "dft_energy_ry_per_atom": -0.1410, "delta_e_f_mev_per_atom": 298, "dos_ef_per_ev_fu": 4.8, "lattice": [[-1.0146, 7.0937, -2.4914], [-3.5439, 1.7660, 6.4714], [6.6308, 2.0293, 3.0774]], "species": ["Hg", "Au", "Au", "Hg", "Hg", "Hg", "Au", "Au", "Hg", "Au", "Hg", "Pr", "Pr", "Au"], "fractional_positions": [[0.2500, 0.0000, 0.5000], [0.5000, 0.0000, 0.2500], [0.2500, 0.5000, 0.0000], [0.0000, 0.5000, 0.7500], [0.0000, 0.5000, 0.2500], [0.5000, 0.2500, 0.0000], [0.7500, 0.5000, 0.0000], [0.0000, 0.7500, 0.5000], [0.5000, 0.7500, 0.0000], [0.5000, 0.0000, 0.7500], [0.7500, 0.0000, 0.5000], [0.5000, 0.5000, 0.5000], [0.0000, 0.0000, 0.0000], [0.0000, 0.2500, 0.5000]]}


[2]
{"formula": "HfAsIBr2", "functional": "PBE-GGA", "state": "relaxed", "de_polymorph_mev_per_atom": 1505, "dft_energy_ry_per_atom": -0.2045, "e_form_raw_ev_per_atom": 1.118, "dos_ef_per_ev_fu": 2.9, "lattice": [[5.5349, 0.0000, 0.0000], [0.0000, 5.5349, 0.0000], [0.0000, 0.0000, 5.6391]], "species": ["Br", "Hf", "As", "I", "Br"], "fractional_positions": [[0.0000, 0.5000, 0.0000], [0.5000, 0.5000, 0.5000], [0.0000, 0.0000, 0.5000], [0.0000, 0.0000, 0.0000], [0.5000, 0.0000, 0.0000]]}


[3]
{"formula": "SbTe2P", "functional": "PBE-GGA", "state": "relaxed", "de_polymorph_mev_per_atom": 356, "dft_energy_ry_per_atom": -0.2528, "e_form_raw_ev_per_atom": 0.514, "dos_ef_per_ev_fu": 2.2, "lattice": [[6.5686, 3.8668, 1.6538], [1.8923, 6.8025, 3.3136], [-4.1227, -6.6203, 0.0942]], "species": ["Te", "Sb", "P", "Te"], "fractional_positions": [[0.2500, 0.7500, 0.5000], [0.7500, 0.2500, 0.5000], [0.5000, 0.5000, 0.0000], [0.0000, 0.0000, 0.0000]]}


[4]
{"formula": "AcEr2In", "functional": "PBE-GGA", "state": "relaxed", "de_polymorph_mev_per_atom": 270, "dft_energy_ry_per_atom": -0.2884, "delta_e_f_mev_per_atom": 69, "dos_ef_per_ev_fu": 5.5, "lattice": [[3.6017, 0.0000, 0.0000], [1.8009, 3.1192, 0.0000], [1.8009, 1.0397, 11.9700]], "species": ["In", "Ac", "Er", "Er"], "fractional_positions": [[0.5000, 0.5000, 0.5000], [0.0000, 0.0000, 0.0000], [0.0994, 0.0994, 0.7018], [0.9006, 0.9006, 0.2982]]}


[5]
{"formula": "Ac3HgPtO", "functional": "PBE-GGA", "state": "relaxed", "dft_energy_ry_per_atom": -0.3967, "e_form_raw_ev_per_atom": -1.460, "dos_ef_per_ev_fu": 4.7, "lattice": [[-2.4205, -0.7167, -3.5803], [-0.9310, -8.9598, 2.4230], [-7.7779, 3.8647, 4.4848]], "species": ["Ac", "Ac", "Pt", "Ac", "Hg", "Ac", "O", "Ac", "Ac", "O", "Hg", "Pt"], "fractional_positions": [[0.2500, 0.1090, 0.8502], [0.7500, 0.4455, 0.1643], [0.7500, 0.3324, 0.8484], [0.2500, 0.5545, 0.8357], [0.2500, 0.1857, 0.2305], [0.2500, 0.8228, 0.4750], [0.2500, 0.0808, 0.5910], [0.7500, 0.1772, 0.5250], [0.7500, 0.8910, 0.1498], [0.7500, 0.9192, 0.4090], [0.7500, 0.8143, 0.7695], [0.2500, 0.6676, 0.1516]]}


[6]
{"formula": "Al2ZnPt", "functional": "PBE-GGA", "state": "relaxed", "dft_energy_ry_per_atom": -0.3048, "delta_e_f_mev_per_atom": -447, "dos_ef_per_ev_fu": 1.1, "lattice": [[4.8005, 0.0154, -0.0050], [1.7403, 4.4740, 0.0050], [-3.2679, -2.2484, 2.7797]], "species": ["Zn", "Pt", "Al", "Al"], "fractional_positions": [[0.2499, 0.7499, 0.5000], [0.4999, 0.4999, 0.0000], [0.7500, 0.2500, 0.5000], [0.0000, 0.0000, 0.0000]]}


[7]
{"formula": "Tb3PmNd4Te8", "functional": "PBE-GGA", "state": "relaxed", "dft_energy_ry_per_atom": -0.3898, "e_form_raw_ev_per_atom": -1.376, "dos_ef_per_ev_fu": 11.9, "lattice": [[-1.0032, -0.1634, 8.7918], [-8.2464, -3.3140, -1.0026], [6.8675, -4.1374, -3.7479]], "species": ["Tb", "Tb", "Te", "Te", "Nd", "Te", "Nd", "Nd", "Te", "Te", "Te", "Te", "Nd", "Te", "Tb", "Pm"], "fractional_positions": [[0.5000, 0.5000, 0.0000], [0.0000, 0.5000, 0.5000], [0.7464, 0.7391, 0.4928], [0.2491, 0.7418, 0.4983], [0.0000, 0.0000, 0.5000], [0.7435, 0.7418, 0.9927], [0.5000, 0.0000, 0.5000], [0.5000, 0.0000, 0.0000], [0.2492, 0.7418, 0.9927], [0.7509, 0.2582, 0.5017], [0.2565, 0.2582, 0.0073], [0.2536, 0.2609, 0.5072], [0.0000, 0.0000, 0.0000], [0.7508, 0.2582, 0.0073], [0.5000, 0.5000, 0.5000], [0.0000, 0.5000, 0.0000]]}


[8]
{"formula": "KNbS3", "functional": "PBE-GGA", "state": "relaxed", "de_polymorph_mev_per_atom": 2657, "dft_energy_ry_per_atom": -0.2241, "e_form_raw_ev_per_atom": 1.661, "dos_ef_per_ev_fu": 16.2, "lattice": [[-1.9469, 2.3743, -3.9710], [-4.6253, -1.1039, 1.6076], [-0.1129, 4.2826, 2.6160]], "species": ["Nb", "K", "S", "S", "S"], "fractional_positions": [[0.5000, 0.5000, 0.5000], [0.0000, 0.0000, 0.0000], [0.5000, 0.0000, 0.0000], [0.0000, 0.0000, 0.5000], [0.0000, 0.5000, 0.0000]]}


[9]
{"formula": "NiIr2Se", "functional": "PBE-GGA", "state": "relaxed", "de_polymorph_mev_per_atom": 225, "dft_energy_ry_per_atom": -0.4617, "e_form_raw_ev_per_atom": 0.465, "dos_ef_per_ev_fu": 6.3, "lattice": [[4.4413, 0.0000, 0.0000], [0.0000, 4.4413, 0.0000], [0.0000, 0.0000, 2.9171]], "species": ["Ir", "Se", "Ni", "Ir"], "fractional_positions": [[0.0000, 0.0000, 0.0000], [0.0000, 0.5000, 0.5000], [0.5000, 0.0000, 0.5000], [0.5000, 0.5000, 0.0000]]}


[10]
{"formula": "AlPb3F", "functional": "PBE-GGA", "state": "relaxed", "de_polymorph_mev_per_atom": 332, "dft_energy_ry_per_atom": -0.2417, "e_form_raw_ev_per_atom": 0.059, "dos_ef_per_ev_fu": 3.2, "lattice": [[5.4276, 0.0000, 0.0000], [0.0000, 5.4276, 0.0000], [0.0000, 0.0000, 5.4276]], "species": ["Pb", "Al", "Pb", "F", "Pb"], "fractional_positions": [[0.0000, 0.5000, 0.0000], [0.0000, 0.0000, 0.0000], [0.0000, 0.0000, 0.5000], [0.5000, 0.5000, 0.5000], [0.5000, 0.0000, 0.0000]]}


[11]
{"formula": "Zn4AgOs", "functional": "PBE-GGA", "state": "relaxed", "dft_energy_ry_per_atom": -0.2149, "delta_e_f_mev_per_atom": 272, "dos_ef_per_ev_fu": 4.2, "lattice": [[-3.7124, -2.6685, 1.9633], [-1.8340, 1.1993, 4.4672], [-4.5538, 1.9704, 0.3725]], "species": ["Zn", "Zn", "Os", "Zn", "Zn", "Ag"], "fractional_positions": [[0.8768, 0.3744, 0.3744], [0.3744, 0.8768, 0.3744], [0.0000, 0.0000, 0.0000], [0.3744, 0.3744, 0.3744], [0.3744, 0.3744, 0.8768], [0.7500, 0.7500, 0.7500]]}


[12]
{"formula": "Pm12Sn6Ge", "functional": "PBE-GGA", "state": "relaxed", "dft_energy_ry_per_atom": -0.3634, "delta_e_f_mev_per_atom": -437, "dos_ef_per_ev_fu": 19.0, "lattice": [[8.9252, -0.0592, -0.0709], [-1.4116, 8.8131, -0.0709], [-1.4116, -1.6446, 8.6586]], "species": ["Pm", "Pm", "Sn", "Pm", "Pm", "Pm", "Sn", "Sn", "Pm", "Pm", "Pm", "Pm", "Ge", "Pm", "Sn", "Pm", "Sn", "Sn", "Pm"], "fractional_positions": [[0.3221, 0.0618, 0.9626], [0.8108, 0.5739, 0.4368], [0.3038, 0.1258, 0.6235], [0.6779, 0.9382, 0.0374], [0.9626, 0.3221, 0.0618], [0.0618, 0.9626, 0.3221], [0.6962, 0.8742, 0.3765], [0.8742, 0.3765, 0.6962], [0.5739, 0.4368, 0.8108], [0.4368, 0.8108, 0.5739], [0.9382, 0.0374, 0.6779], [0.4261, 0.5632, 0.1892], [0.0000, 0.0000, 0.0000], [0.5632, 0.1892, 0.4261], [0.3765, 0.6962, 0.8742], [0.1892, 0.4261, 0.5632], [0.6235, 0.3038, 0.1258], [0.1258, 0.6235, 0.3038], [0.0374, 0.6779, 0.9382]]}


[13]
{"formula": "SbAuSN2", "functional": "PBE-GGA", "state": "relaxed", "de_polymorph_mev_per_atom": 243, "dft_energy_ry_per_atom": -0.2963, "e_form_raw_ev_per_atom": 1.604, "dos_ef_per_ev_fu": 1.8, "lattice": [[-1.4030, -3.4433, 1.7297], [3.4533, -1.9403, -1.0613], [2.1177, 1.3546, 4.4142]], "species": ["N", "S", "Au", "N", "Sb"], "fractional_positions": [[0.0000, 0.5000, 0.0000], [0.0000, 0.0000, 0.5000], [0.0000, 0.0000, 0.0000], [0.5000, 0.0000, 0.0000], [0.5000, 0.5000, 0.5000]]}


[14]
{"formula": "Dy2Ho2Ir3", "functional": "PBE-GGA", "state": "relaxed", "dft_energy_ry_per_atom": -0.5330, "delta_e_f_mev_per_atom": -832, "dos_ef_per_ev_fu": 3.2, "lattice": [[4.7929, -0.0064, 0.0027], [-2.3920, 4.0957, -0.7000], [-0.0016, -1.4072, 8.2548]], "species": ["Dy", "Ho", "Ho", "Ir", "Ir", "Ir", "Dy"], "fractional_positions": [[0.8744, 0.7493, 0.6240], [0.6238, 0.2479, 0.8724], [0.3762, 0.7521, 0.1276], [0.7505, 0.4997, 0.2494], [0.2495, 0.5003, 0.7506], [0.0000, 0.0000, 0.0000], [0.1256, 0.2507, 0.3760]]}


[15]
{"formula": "SmSi2Rh", "functional": "PBE-GGA", "state": "relaxed", "dft_energy_ry_per_atom": -0.4872, "e_form_raw_ev_per_atom": -0.899, "dos_ef_per_ev_fu": 1.5, "lattice": [[4.2522, 0.0000, 0.0000], [0.0000, 8.7345, 0.0000], [-2.1261, -4.3672, 7.8839]], "species": ["Si", "Si", "Sm", "Si", "Rh", "Rh", "Rh", "Sm", "Si", "Si", "Si", "Sm", "Sm", "Si", "Si", "Rh"], "fractional_positions": [[0.9247, 0.4247, 0.8493], [0.3036, 0.6535, 0.6071], [0.7059, 0.7059, 0.4118], [0.0787, 0.0787, 0.1575], [0.8526, 0.6058, 0.7052], [0.1474, 0.9006, 0.2948], [0.1474, 0.3942, 0.2948], [0.5000, 0.7420, 0.0000], [0.0753, 0.5753, 0.1507], [0.3036, 0.9536, 0.6071], [0.6964, 0.3465, 0.3929], [0.5000, 0.2580, 0.0000], [0.2941, 0.2941, 0.5882], [0.6964, 0.0464, 0.3929], [0.9213, 0.9213, 0.8425], [0.8526, 0.0994, 0.7052]]}


[16]
{"formula": "CoMoBr4", "functional": "PBE-GGA", "state": "relaxed", "dft_energy_ry_per_atom": -0.1899, "e_form_raw_ev_per_atom": 1.521, "dos_ef_per_ev_fu": 11.4, "lattice": [[3.7749, 3.0944, 3.8093], [-2.2023, 2.3980, 5.2664], [1.6147, -2.4739, 5.4414]], "species": ["Br", "Br", "Br", "Br", "Mo", "Co"], "fractional_positions": [[0.8728, 0.3757, 0.3757], [0.3757, 0.8728, 0.3757], [0.3757, 0.3757, 0.3757], [0.3757, 0.3757, 0.8728], [0.0000, 0.0000, 0.0000], [0.7500, 0.7500, 0.7500]]}


[17]
{"formula": "Ca4MoSe", "functional": "PBE-GGA", "state": "relaxed", "dft_energy_ry_per_atom": -0.2210, "e_form_raw_ev_per_atom": 0.713, "dos_ef_per_ev_fu": 5.1, "lattice": [[6.3198, -0.7710, -1.3057], [2.5531, -5.9695, -0.2927], [1.8597, -2.4621, -5.7200]], "species": ["Se", "Ca", "Ca", "Ca", "Mo", "Ca"], "fractional_positions": [[0.0000, 0.0000, 0.0000], [0.3759, 0.3759, 0.8724], [0.3759, 0.8724, 0.3759], [0.8724, 0.3759, 0.3759], [0.7500, 0.7500, 0.7500], [0.3759, 0.3759, 0.3759]]}


[18]
{"formula": "NdMnIr", "functional": "PBE-GGA", "state": "relaxed", "dft_energy_ry_per_atom": -0.5604, "delta_e_f_mev_per_atom": -25, "dos_ef_per_ev_fu": 2.9, "lattice": [[5.1260, 0.0000, 0.0000], [2.5630, 5.1665, 0.0000], [2.5630, 0.0000, 9.7034]], "species": ["Nd", "Ir", "Mn", "Mn", "Ir", "Nd", "Mn", "Nd", "Ir", "Mn", "Nd", "Ir"], "fractional_positions": [[0.9036, 0.1929, 0.5000], [0.8744, 0.0000, 0.2512], [0.5957, 0.0000, 0.8086], [0.3457, 0.5000, 0.3086], [0.8756, 0.5000, 0.2488], [0.1536, 0.6929, 0.0000], [0.4043, 0.0000, 0.1914], [0.8464, 0.3071, 0.0000], [0.1256, 0.0000, 0.7488], [0.1543, 0.5000, 0.6914], [0.5964, 0.8071, 0.5000], [0.6244, 0.5000, 0.7512]]}


[19]
{"formula": "RbBaPuCl6", "functional": "PBE-GGA", "state": "relaxed", "dft_energy_ry_per_atom": -0.3878, "e_form_raw_ev_per_atom": -2.131, "dos_ef_per_ev_fu": 11.0, "lattice": [[-4.2004, -1.1690, -6.4776], [7.4020, -2.4613, 0.3505], [-4.1310, -11.7403, 4.7974]], "species": ["Cl", "Cl", "Cl", "Pu", "Rb", "Cl", "Cl", "Pu", "Cl", "Ba", "Cl", "Ba", "Cl", "Cl", "Cl", "Cl", "Rb", "Cl"], "fractional_positions": [[0.3464, 0.9656, 0.6372], [0.6536, 0.0344, 0.3628], [0.6193, 0.6536, 0.6372], [0.6667, 0.3333, 0.2500], [0.0000, 0.0000, 0.0000], [0.6536, 0.6193, 0.1372], [0.9656, 0.3464, 0.1372], [0.3333, 0.6667, 0.7500], [0.0344, 0.6536, 0.8628], [0.3333, 0.6667, 0.2500], [0.9656, 0.6193, 0.3628], [0.6667, 0.3333, 0.7500], [0.3807, 0.0344, 0.1372], [0.6193, 0.9656, 0.8628], [0.3464, 0.3807, 0.8628], [0.0344, 0.3807, 0.6372], [0.0000, 0.0000, 0.5000], [0.3807, 0.3464, 0.3628]]}


[20]
{"formula": "MnAs2W", "functional": "PBE-GGA", "state": "relaxed", "de_polymorph_mev_per_atom": 62, "dft_energy_ry_per_atom": -0.5720, "delta_e_f_mev_per_atom": 73, "dos_ef_per_ev_fu": 2.4, "lattice": [[-3.6673, -2.8887, -0.7902], [-2.4044, -3.4540, 2.1696], [-3.3143, 2.2002, 1.8344]], "species": ["As", "Mn", "As", "W"], "fractional_positions": [[0.9964, 0.9964, 0.0701], [0.4810, 0.4810, 0.5770], [0.7515, 0.7515, 0.6769], [0.2710, 0.2710, 0.1760]]}